1.
A relaxed structure of La4Tb3Nd. Source: the Alexandria database, functional PBE.

```
La4Tb3Nd
1.0
-2.884 1.935 0.684
-6.825 -8.653 -4.304
4.474 0.647 7.875
Nd La Tb
1 4 3
Cartesian
-1.442 0.967 0.342
-3.253 -1.922 0.875
1.424 0.167 5.528
-1.982 -4.151 3.381
-6.659 -6.240 -1.273
-5.054 -4.782 1.372
-3.413 -4.327 -2.152
-0.181 -1.290 2.883
```

Energy of formation, eV/f.u.: 0.9
Total energy, eV/cell: -37.48
SG: Immm (71)
Magnetization, μB per formula unit: 0.00
DOS at the Fermi energy, states/eV/atom: 1.84
E above lowest polymorph, eV/atom: 0.078

2.
A relaxed structure of La3Tb2Nd. Source: the Alexandria database, functional PBE.

```
La3Tb2Nd
1.0
-1.678 2.157 2.203
0.220 -4.236 4.316
9.461 4.659 -0.153
La Nd Tb
3 1 2
Cartesian
3.310 1.372 1.178
4.692 1.208 5.189
0.110 -2.118 2.158
0.000 0.000 0.000
1.663 -0.048 4.111
6.340 2.628 2.256
```

Energy of formation, eV/f.u.: 1.7
Total energy, eV/cell: -27.07
SG: Immm (71)
Magnetization, μB per formula unit: 0.00
DOS at the Fermi energy, states/eV/atom: 1.77
E above lowest polymorph, eV/atom: 0.271

3.
A relaxed structure of LaTb3Nd3. Source: the Alexandria database, functional PBE.

```
LaTb3Nd3
1.0
8.153 0.797 3.778
2.727 7.725 3.778
1.018 0.797 8.928
Nd La Tb
6 2 6
Cartesian
3.113 6.085 8.058
8.785 3.234 8.425
4.392 4.303 10.991
6.345 7.755 7.630
5.553 1.564 8.853
7.505 5.016 5.492
4.123 3.229 5.712
7.775 6.090 10.771
4.686 7.943 10.570
2.136 2.914 8.707
7.211 1.376 5.913
7.250 2.647 11.714
9.761 6.405 7.776
4.647 6.672 4.769
```

Energy of formation, eV/f.u.: 1.4
Total energy, eV/cell: -63.52
SG: R-3 (148)
Magnetization, μB per formula unit: 0.00
DOS at the Fermi energy, states/eV/atom: 1.56
E above lowest polymorph, eV/atom: 0.166

4.
A relaxed structure of La3TbNd5. Source: the Alexandria database, functional PBE.

```
La3TbNd5
1.0
7.473 0.195 -0.283
2.233 7.134 -0.283
3.195 2.412 12.664
Tb La Nd
2 6 10
Cartesian
9.343 7.055 2.876
3.557 2.686 9.222
8.798 6.643 6.537
0.000 0.000 0.000
7.996 6.038 9.684
4.102 3.098 5.561
4.904 3.703 2.414
1.597 1.206 6.332
8.733 3.212 2.428
6.091 4.600 7.585
5.480 7.520 2.428
3.885 4.946 -0.283
5.634 4.255 11.974
6.809 5.141 4.513
7.266 5.486 0.124
4.167 6.529 9.670
7.420 2.221 9.670
5.821 2.383 -0.283
```

Energy of formation, eV/f.u.: 3.5
Total energy, eV/cell: -79.58
SG: C2/m (12)
Magnetization, μB per formula unit: 0.00
DOS at the Fermi energy, states/eV/atom: 1.66

5.
A relaxed structure of LaTb3Nd7. Source: the Alexandria database, functional PBE.

```
LaTb3Nd7
1.0
-4.758 -0.932 -3.499
6.678 -4.716 -2.717
0.011 -5.566 6.576
Tb La Nd
3 1 7
Cartesian
-2.379 -0.466 -1.750
1.368 -5.393 4.685
5.321 -4.889 -0.826
0.965 -5.607 0.180
-1.408 -3.602 2.875
1.530 -8.876 0.286
0.400 -2.337 0.074
3.344 -5.141 1.929
-0.632 -8.118 3.019
2.562 -3.096 -2.659
3.339 -7.612 -2.515
```

Energy of formation, eV/f.u.: 2.3
Total energy, eV/cell: -49.88
SG: Immm (71)
Magnetization, μB per formula unit: 0.29
DOS at the Fermi energy, states/eV/atom: 1.45
E above lowest polymorph, eV/atom: 0.003

6.
A relaxed structure of La9TbNd4. Source: the Alexandria database, functional PBE.

```
La9TbNd4
1.0
-9.858 5.150 3.540
-2.549 -8.355 5.058
5.402 7.208 4.556
Nd La Tb
8 18 2
Cartesian
-1.527 1.976 2.494
0.000 0.000 0.000
0.354 1.219 8.833
-4.929 2.575 1.770
2.035 6.728 5.498
-9.039 -2.725 7.656
-7.359 2.784 4.321
-5.477 2.027 10.660
-5.799 8.975 8.091
-1.206 -4.973 5.063
-4.562 0.448 4.700
-5.527 -2.715 6.615
-0.241 -1.809 3.148
-3.523 3.989 4.814
-6.764 5.812 10.006
-0.721 1.335 5.672
1.334 4.076 7.405
-7.253 -0.509 9.406
-8.338 -0.073 5.749
0.249 4.512 3.748
-2.443 3.555 8.454
-3.482 0.014 8.340
-1.478 6.718 6.539
-7.844 6.247 6.366
0.839 -2.244 6.788
-6.284 2.668 7.482
-4.642 5.883 7.378
-2.363 -1.880 5.776
```

Energy of formation, eV/f.u.: 1.9
Total energy, eV/cell: -132.22
SG: P6_3/mmc (194)
Magnetization, μB per formula unit: 0.00
DOS at the Fermi energy, states/eV/atom: 1.66

7.
A relaxed structure of La3TbNd2. Source: the Alexandria database, functional PBE.

```
La3TbNd2
1.0
6.424 0.000 0.000
-3.212 5.564 0.000
0.000 0.000 12.011
Nd Tb La
4 2 6
Cartesian
0.000 3.709 0.000
0.000 3.709 6.005
3.212 1.855 6.006
3.212 1.855 12.011
0.000 0.000 0.000
0.000 0.000 6.005
4.292 0.000 3.003
1.067 1.847 3.003
-1.079 5.564 9.008
-1.066 1.847 9.008
4.279 3.716 3.003
2.146 3.717 9.008
```

Energy of formation, eV/f.u.: 0.1
Total energy, eV/cell: -57.65
SG: P6_3/mcm (193)
Magnetization, μB per formula unit: 0.00
DOS at the Fermi energy, states/eV/atom: 1.27
E above lowest polymorph, eV/atom: 0.000

8.
A relaxed structure of LaTb5Nd4. Source: the Alexandria database, functional PBE.

```
LaTb5Nd4
1.0
-0.903 1.924 -2.966
-2.514 -2.501 -0.857
-17.308 12.759 13.549
Tb Nd La
5 4 1
Cartesian
-6.913 3.547 2.163
-3.465 1.006 -0.536
-17.261 11.175 10.263
-10.363 6.091 4.863
-13.813 8.634 7.564
-13.835 10.198 10.830
-3.474 2.561 2.719
-6.929 5.108 5.424
-10.379 7.651 8.125
0.000 0.000 0.000
```

Energy of formation, eV/f.u.: 0.2
Total energy, eV/cell: -46.98
SG: P4/mmm (123)
Magnetization, μB per formula unit: 0.00
DOS at the Fermi energy, states/eV/atom: 1.44